The following is a PBE-GGA calculation of a geometry-optimized Pm4DyPt5 structure, from Alexandria.

Calculated values
Total magnetization, μB per atom: 0.000
Space group: P4/mmm (123)
Fermi-level density of states, states/eV/cell: 7.35
Energy, eV per atom: -6.488

Unit cell a=3.5471 b=3.5471 c=18.0325 alpha=90.00 beta=90.00 gamma=90.00
Sites, in units of the cell vectors:
1 Pm 0.0000 0.0000 0.1010
2 Pm 0.0000 0.0000 0.3033
3 Pm 0.0000 0.0000 0.6967
4 Pm 0.0000 0.0000 0.8990
5 Dy 0.0000 0.0000 0.5000
6 Pt 0.5000 0.5000 0.0000
7 Pt 0.5000 0.5000 0.2023
8 Pt 0.5000 0.5000 0.4067
9 Pt 0.5000 0.5000 0.5933
10 Pt 0.5000 0.5000 0.7977